CdTcPt2I | PBE | optimized geometry

## Properties
* DFT total energy: -3.681 eV per atom
* E_form (uncorrected): 628 kJ/mol of formula units
* DOS at the Fermi energy: 3.42 states/eV per cell

The structure in POSCAR format:
```
CdTcPt2I
1.0
-4.023 0.171 2.922
-2.473 -2.887 -3.235
1.579 -4.056 2.412
Cd Pt Tc I
1 2 1 1
Cartesian
-2.459 -3.386 1.050
0.790 -2.028 1.206
-2.012 0.086 1.461
-1.236 -1.443 -1.618
0.000 0.000 0.000
```